1.
Ba2LiAu3 | Alexandria | PBE | optimized geometry; uncorrected energy = -3.26 eV per atom
1.0
6.518 -0.160 0.000
-0.413 6.507 0.000
-3.053 -3.174 8.279
Ba Li Au
4 2 6
Direct
0.250 0.750 0.500
0.755 0.755 0.000
0.750 0.250 0.500
0.245 0.245 0.000
0.667 0.667 0.335
0.333 0.333 0.665
0.353 0.822 0.175
0.178 0.647 0.825
0.647 0.178 0.825
0.822 0.353 0.175
0.174 0.174 0.347
0.826 0.826 0.653

---

2.
CaSbTe2I | Alexandria | PBE | optimized geometry; polymorph energy (0 for the lowest one) = 47.36 kJ per mole of atoms; formation energy without anion corrections = 0.2374 eV/atom
1.0
-1.747 -5.360 1.066
3.829 -1.999 -3.776
4.159 -0.467 4.465
I Sb Ca Te
1 1 1 2
Direct
0.500 0.500 0.500
0.000 0.000 0.500
0.000 0.000 0.000
0.000 0.500 0.000
0.500 0.000 0.000

---

3.
KZn2PC | Alexandria | PBE | optimized geometry; uncorrected energy = -2.45 eV per atom
1.0
-3.378 -0.355 3.134
4.218 -2.595 4.253
1.014 4.226 1.572
C P Zn K
1 1 2 1
Direct
0.500 0.500 0.500
0.000 0.000 0.000
0.000 0.000 0.500
0.500 0.000 0.000
0.000 0.500 0.000

---

4.
Mg2AsSBr | Alexandria | PBE | optimized geometry; formation energy without anion corrections = 0.0171 eV/atom
1.0
-0.524 0.934 4.790
4.778 -0.882 0.695
1.034 4.928 -0.848
Mg As S Br
2 1 1 1
Direct
0.000 0.500 0.000
0.500 0.000 0.000
0.500 0.500 0.500
0.000 0.000 0.000
0.000 0.000 0.500

---

5.
PrSm8Mg2 | Alexandria | PBE | optimized geometry; polymorph energy (0 for the lowest one) = 0.00 kJ per mole of atoms
1.0
-4.355 1.920 -2.474
2.085 -4.280 -6.993
-2.812 -5.386 6.587
Pr Sm Mg
1 8 2
Direct
0.500 0.000 0.000
0.599 0.469 0.199
0.313 0.049 0.626
0.148 0.205 0.297
0.053 0.735 0.107
0.852 0.795 0.703
0.687 0.951 0.374
0.401 0.531 0.801
0.947 0.265 0.893
0.226 0.630 0.451
0.774 0.370 0.549

---

6.
Nd3Ge2Rh3 | Alexandria | PBE | optimized geometry; polymorph energy (0 for the lowest one) = 0.00 kJ per mole of atoms
1.0
5.753 0.000 0.000
0.000 7.774 0.000
0.000 0.000 15.295
Nd Ge Rh
12 8 12
Direct
0.141 0.474 0.394
0.641 0.026 0.606
0.859 0.526 0.894
0.359 0.974 0.106
0.859 0.526 0.606
0.359 0.974 0.394
0.141 0.474 0.106
0.641 0.026 0.894
0.612 0.334 0.250
0.112 0.166 0.750
0.388 0.666 0.750
0.888 0.834 0.250
0.862 0.124 0.396
0.362 0.376 0.604
0.138 0.876 0.896
0.638 0.624 0.104
0.138 0.876 0.604
0.638 0.624 0.396
0.862 0.124 0.104
0.362 0.376 0.896
0.099 0.185 0.250
0.599 0.315 0.750
0.901 0.815 0.750
0.401 0.685 0.250
0.595 0.333 0.465
0.095 0.167 0.535
0.405 0.667 0.965
0.905 0.833 0.035
0.405 0.667 0.535
0.905 0.833 0.465
0.595 0.333 0.035
0.095 0.167 0.965

---

7.
LiNd3B2O8 | Alexandria | PBE | optimized geometry; formation energy without anion corrections = -2.9492 eV/atom
1.0
5.157 0.000 0.000
-2.579 4.466 0.000
0.000 0.000 6.529
Li Nd B O
1 3 2 8
Direct
0.000 0.000 0.500
0.333 0.667 0.653
0.667 0.333 0.347
0.000 0.000 0.000
0.333 0.667 0.215
0.667 0.333 0.785
0.333 0.667 0.993
0.667 0.333 0.007
0.178 0.822 0.303
0.822 0.178 0.697
0.178 0.357 0.303
0.822 0.643 0.697
0.643 0.822 0.303
0.357 0.178 0.697

---

8.
ThCu4Si2 | Alexandria | PBE | optimized geometry; polymorph energy (0 for the lowest one) = 3.98 kJ per mole of atoms; formation energy without anion corrections = -0.3532 eV/atom
1.0
4.091 0.000 0.000
2.046 3.543 0.000
2.046 1.181 7.598
Th Cu Si
1 4 2
Direct
0.000 0.000 0.000
0.433 0.433 0.702
0.141 0.141 0.577
0.567 0.567 0.298
0.859 0.859 0.423
0.247 0.247 0.259
0.753 0.753 0.741

---

9.
Re4MoOs | Alexandria | PBE | optimized geometry; polymorph energy (0 for the lowest one) = 0.00 kJ per mole of atoms
1.0
-0.720 -3.317 -7.626
2.436 -6.291 -9.670
-5.409 -8.685 4.288
Re Mo Os
16 4 4
Direct
0.087 0.249 0.440
0.750 0.251 0.937
0.409 0.251 0.187
0.410 0.252 0.685
0.090 0.248 0.185
0.091 0.249 0.687
0.750 0.249 0.437
0.587 0.749 0.060
0.413 0.251 0.940
0.250 0.751 0.563
0.909 0.751 0.313
0.910 0.752 0.815
0.590 0.748 0.315
0.591 0.749 0.813
0.250 0.749 0.063
0.913 0.751 0.560
0.754 0.249 0.686
0.746 0.251 0.186
0.254 0.749 0.814
0.246 0.751 0.314
0.086 0.248 0.939
0.414 0.252 0.439
0.586 0.748 0.561
0.914 0.752 0.061